(1)
# CeUPa2N4, optimized geometry, DFT GGA-PBE
# Formation energy without anion corrections, eV per formula unit: -12.237
# Space-group type: P2/m, No. 10
# Total DFT energy (no corrections), eV/atom: -10.219
# DOS(E_F), states/eV/cell: 9.042
data_CeUPa2N4
_chemical_formula_sum 'Ce1 U1 Pa2 N4'
_space_group_name_H-M_alt 'P 1'
_space_group_IT_number 1
_space_group_name_Hall 'P 1'
_cell_length_a 3.507
_cell_length_b 6.069
_cell_length_c 6.057
_cell_angle_alpha 109.58
_cell_angle_beta 90.00
_cell_angle_gamma 90.00
loop_
_atom_site_label
_atom_site_fract_x
_atom_site_fract_y
_atom_site_fract_z
Ce1 0.000 0.000 0.000
U1 0.500 0.500 0.000
Pa1 0.500 0.000 0.500
Pa2 0.000 0.500 0.500
N1 0.500 0.264 0.260
N2 0.500 0.736 0.740
N3 0.000 0.258 0.748
N4 0.000 0.742 0.252

(2)
# LiCa2Zn4Si3, optimized geometry, DFT GGA-PBE
# Formation energy without anion corrections, eV per formula unit: -3.082
# Space-group type: P-4m2, No. 115
# Total DFT energy (no corrections), eV/atom: -3.036
# DOS(E_F), states/eV/cell: 3.006
data_LiCa2Zn4Si3
_chemical_formula_sum 'Li1 Ca2 Zn4 Si3'
_space_group_name_H-M_alt 'P 1'
_space_group_IT_number 1
_space_group_name_Hall 'P 1'
_cell_length_a 4.122
_cell_length_b 4.122
_cell_length_c 10.749
_cell_angle_alpha 90.00
_cell_angle_beta 90.00
_cell_angle_gamma 90.00
loop_
_atom_site_label
_atom_site_fract_x
_atom_site_fract_y
_atom_site_fract_z
Li1 0.500 0.500 0.500
Ca1 0.500 0.000 0.245
Ca2 0.000 0.500 0.755
Zn1 0.500 0.500 0.000
Zn2 0.000 0.000 0.000
Zn3 0.500 0.000 0.635
Zn4 0.000 0.500 0.365
Si1 0.000 0.000 0.500
Si2 0.500 0.000 0.861
Si3 0.000 0.500 0.139